(1)
# Cu2Pt7Rh2

A relaxed structure of Cu2Pt7Rh2 (PBE-GGA, the Alexandria database).

Magnetization ... 0.0 μB/f.u.
Offset from the most stable computed form ... 0.0000 eV/atom
E ... -63.7 eV for the cell shown
Mass density ... 16.1 g/cm³
Energy of formation ... 1.5 eV per formula unit

Cell lengths 4.7568, 5.6738, 6.7086 Å; angles 81.14, 80.46, 82.59 degrees
Closest atoms and distances in Å follow each position.
Space group P-1 (No. 2)
One atom of each set of equivalent atoms:
Cu 0.0301 0.1668 0.3294 x2  1 Rh 2.60, 6 Pt 2.64-2.81, 1 Cu 2.74
Pt 0.2390 0.4143 0.5736 x2  5 Pt 2.59-2.79, 3 Rh 2.61-2.77, 2 Cu 2.67-2.69
Pt 0.2586 0.5425 0.9317 x2  5 Pt 2.56-2.86, 2 Rh 2.61-2.83, 1 Cu 2.64
Pt 0.2604 0.0452 0.8990 x2  3 Rh 2.67-2.92, 6 Pt 2.69-2.86, 1 Cu 2.72
Pt 0.5000 0.0000 0.5000 x1  4 Pt 2.59-2.77, 4 Cu 2.68-2.81, 2 Rh 2.79
Rh 0.2671 0.7429 0.2556 x2  1 Cu 2.60, 8 Pt 2.61-2.83

***

(2)
# CuPtRh

A relaxed structure of CuPtRh (PBE-GGA, the Alexandria database).

Magnetization ... 0.5 μB/f.u.
Offset from the most stable computed form ... 0.2259 eV/atom
E ... -135.7 eV for the cell shown
Mass density ... 13.9 g/cm³
Energy of formation ... 0.5 eV per formula unit

Cell lengths 7.8115, 4.9717, 8.8752 Å; angles 90.00, 90.00, 90.00 degrees
Closest atoms and distances in Å follow each position.
Space group Amm2 (No. 38)
One atom of each set of equivalent atoms:
Cu 0.0000 0.2406 0.0000 x4  4 Cu 2.38-2.58, 2 Rh 2.48-2.61
Cu 0.2419 0.0000 0.5738 x4  2 Cu 2.38, 4 Rh 2.47-2.52
Pt 0.1785 0.0000 0.2505 x4  4 Pt 2.79-3.12, 5 Rh 2.85-2.90, 7 Cu 2.88-2.98
Pt 0.3114 0.0000 0.9186 x4  5 Cu 2.81-3.11, 7 Rh 2.83-2.94, 4 Pt 2.95-3.12
Rh 0.0000 0.0000 0.7552 x2  6 Cu 2.48-2.61
Rh 0.5000 0.0000 0.4136 x2  2 Cu 2.47, 4 Rh 2.50-2.59
Rh 0.5000 0.2475 0.1688 x4  4 Rh 2.46-2.59, 2 Cu 2.52

***

(3)
# Cu3PtRh

A relaxed structure of Cu3PtRh (PBE-GGA, the Alexandria database).

Magnetization ... 0.0 μB/f.u.
Offset from the most stable computed form ... 0.0000 eV/atom
E ... -103.7 eV for the cell shown
Mass density ... 12.2 g/cm³
Energy of formation ... -0.2 eV per formula unit

Cell lengths 13.7561, 2.7115, 7.3905 Å; angles 90.00, 104.58, 90.00 degrees
Closest atoms and distances in Å follow each position.
Space group C2/m (No. 12)
One atom of each set of equivalent atoms:
Cu 0.0011 0.0000 0.2383 x4  7 Cu 2.53-2.71, 1 Pt 2.66, 4 Rh 2.68-2.70
Cu 0.0975 0.5000 0.0531 x4  9 Cu 2.53-2.71, 3 Pt 2.69-2.71
Cu 0.1972 0.0000 0.3525 x4  3 Rh 2.60-2.75, 7 Cu 2.61-2.71, 2 Pt 2.65
Pt 0.1989 0.0000 0.8438 x4  6 Cu 2.65-2.71, 2 Rh 2.67, 4 Pt 2.71-2.74
Rh 0.0965 0.5000 0.5443 x4  3 Rh 2.57-2.71, 7 Cu 2.60-2.75, 2 Pt 2.67

***

(4)
# Cu2PtRh

A relaxed structure of Cu2PtRh (PBE-GGA, the Alexandria database).

Magnetization ... 0.0 μB/f.u.
Offset from the most stable computed form ... 0.1157 eV/atom
E ... -42.8 eV for the cell shown
Mass density ... 12.7 g/cm³
Energy of formation ... 0.2 eV per formula unit

Cell lengths 4.0693, 2.6725, 10.2443 Å; angles 90.00, 91.70, 90.00 degrees
Closest atoms and distances in Å follow each position.
Space group P2_1/m (No. 11)
One atom of each set of equivalent atoms:
Cu 0.2182 0.2500 0.0766 x2  9 Cu 2.45-2.69, 2 Pt 2.71
Cu 0.2769 0.2500 0.8397 x2  7 Cu 2.45-2.67, 2 Pt 2.52-2.53
Pt 0.2354 0.7500 0.3065 x2  4 Cu 2.52-2.71, 2 Pt 2.67, 5 Rh 2.70-2.75
Rh 0.2547 0.7500 0.5699 x2  6 Rh 2.67-2.83, 5 Pt 2.70-2.75

***

(5)
# Cu2PtRh

A relaxed structure of Cu2PtRh (PBE-GGA, the Alexandria database).

Magnetization ... 0.3 μB/f.u.
Offset from the most stable computed form ... 0.0993 eV/atom
E ... -42.9 eV for the cell shown
Mass density ... 12.7 g/cm³
Energy of formation ... 0.1 eV per formula unit

Cell lengths 2.7352, 4.5860, 8.8800 Å; angles 90.00, 90.00, 90.00 degrees
Closest atoms and distances in Å follow each position.
Space group Cmmm (No. 65)
One atom of each set of equivalent atoms:
Cu 0.0000 0.0000 0.2463 x4  2 Rh 2.58, 2 Pt 2.64, 6 Cu 2.67-2.74
Pt 0.0000 0.5000 0.5000 x2  4 Cu 2.64, 6 Pt 2.67-2.74
Rh 0.0000 0.5000 0.0000 x2  4 Cu 2.58, 6 Rh 2.67-2.74

***

(6)
# CuPtRh2

A relaxed structure of CuPtRh2 (PBE-GGA, the Alexandria database).

Magnetization ... 0.0 μB/f.u.
Offset from the most stable computed form ... 0.5237 eV/atom
E ... -91.7 eV for the cell shown
Mass density ... 12.5 g/cm³
Energy of formation ... 1.9 eV per formula unit

Cell lengths 6.8632, 6.8632, 5.2548 Å; angles 90.00, 90.00, 90.00 degrees
Closest atoms and distances in Å follow each position.
Space group I-42d (No. 122)
One atom of each set of equivalent atoms:
Cu 0.0000 0.0000 0.0000 x4  4 Rh 2.45, 2 Pt 2.63
Pt 0.0000 0.0000 0.5000 x4  4 Rh 2.58, 2 Cu 2.63
Rh 0.2367 0.2500 0.1250 x8  2 Cu 2.45, 2 Pt 2.58, 2 Rh 2.63

***

(7)
# Cu2PtRh

A relaxed structure of Cu2PtRh (PBE-GGA, the Alexandria database).

Magnetization ... 0.4 μB/f.u.
Offset from the most stable computed form ... 0.0527 eV/atom
E ... -43.3 eV for the cell shown
Mass density ... 12.9 g/cm³
Energy of formation ... -0.1 eV per formula unit

Cell lengths 3.7928, 3.7928, 7.5895 Å; angles 90.00, 90.00, 90.00 degrees
Closest atoms and distances in Å follow each position.
Space group I-4m2 (No. 119)
One atom of each set of equivalent atoms:
Cu 0.0000 0.0000 0.0000 x2  4 Rh 2.68, 4 Cu 2.68, 4 Pt 2.68
Cu 0.0000 0.5000 0.2500 x2  4 Pt 2.68, 4 Cu 2.68, 4 Rh 2.68
Pt 0.0000 0.5000 0.7500 x2  8 Cu 2.68, 4 Rh 2.68
Rh 0.0000 0.0000 0.5000 x2  8 Cu 2.68, 4 Pt 2.68

***

(8)
# Cu3Pt6Rh

A relaxed structure of Cu3Pt6Rh (PBE-GGA, the Alexandria database).

Magnetization ... 0.0 μB/f.u.
Offset from the most stable computed form ... 0.0000 eV/atom
E ... -113.1 eV for the cell shown
Mass density ... 16.7 g/cm³
Energy of formation ... -0.6 eV per formula unit

Cell lengths 7.2262, 4.5240, 9.4634 Å; angles 90.00, 109.28, 90.00 degrees
Closest atoms and distances in Å follow each position.
Space group P2_1/m (No. 11)
One atom of each set of equivalent atoms:
Cu 0.1017 0.2500 0.2314 x2  3 Cu 2.67-2.76, 8 Pt 2.68-2.76, 1 Rh 2.76
Cu 0.2949 0.2500 0.0346 x2  1 Cu 2.67, 11 Pt 2.70-2.78
Cu 0.3001 0.7500 0.3664 x2  9 Pt 2.70-2.76, 1 Rh 2.74, 2 Cu 2.76
Pt 0.0957 0.2500 0.7320 x2  4 Cu 2.70-2.76, 5 Pt 2.71-2.77, 3 Rh 2.72-2.75
Pt 0.1002 0.7500 0.0685 x2  7 Cu 2.70-2.74, 5 Pt 2.71-2.77
Pt 0.2949 0.2500 0.5290 x2  4 Cu 2.70-2.76, 5 Pt 2.70-2.79, 3 Rh 2.71-2.75
Pt 0.2991 0.7500 0.8680 x2  7 Pt 2.71-2.78, 1 Rh 2.72, 4 Cu 2.73-2.77
Pt 0.4952 0.2500 0.3332 x2  5 Cu 2.68-2.74, 6 Pt 2.70-2.79, 1 Rh 2.75
Pt 0.4979 0.7500 0.1662 x2  8 Pt 2.71-2.78, 4 Cu 2.72-2.78
Rh 0.1019 0.7500 0.5680 x2  8 Pt 2.71-2.75, 2 Cu 2.74-2.76, 2 Rh 2.77

***

(9)
# CuPtRh2

A relaxed structure of CuPtRh2 (PBE-GGA, the Alexandria database).

Magnetization ... 0.0 μB/f.u.
Offset from the most stable computed form ... 0.0589 eV/atom
E ... -49.5 eV for the cell shown
Mass density ... 13.6 g/cm³
Energy of formation ... 0.1 eV per formula unit

Cell lengths 5.3739, 7.7633, 2.7244 Å; angles 90.00, 90.00, 90.00 degrees
Closest atoms and distances in Å follow each position.
Space group Cmmm (No. 65)
One atom of each set of equivalent atoms:
Cu 0.0000 0.0000 0.0000 x2  2 Pt 2.69, 2 Cu 2.72, 8 Rh 2.73
Pt 0.0000 0.5000 0.0000 x2  2 Cu 2.69, 2 Pt 2.72, 8 Rh 2.73
Rh 0.2500 0.2500 0.5000 x4  4 Rh 2.69-2.72, 4 Cu 2.73, 4 Pt 2.73

***

(10)
# CuPt2Rh5

A relaxed structure of CuPt2Rh5 (PBE-GGA, the Alexandria database).

Magnetization ... 0.0 μB/f.u.
E ... -105.4 eV for the cell shown
Mass density ... 13.9 g/cm³
Energy of formation ... 0.2 eV per formula unit

Cell lengths 3.8707, 3.8707, 15.3885 Å; angles 90.00, 90.00, 90.00 degrees
Closest atoms and distances in Å follow each position.
Space group I4/mmm (No. 139)
One atom of each set of equivalent atoms:
Cu 0.0000 0.0000 0.0000 x2  12 Rh 2.69-2.74
Pt 0.0000 0.0000 0.2496 x4  4 Pt 2.74, 8 Rh 2.77
Rh 0.0000 0.0000 0.5000 x2  8 Rh 2.69, 4 Cu 2.74
Rh 0.0000 0.5000 0.1212 x8  2 Cu 2.69, 6 Rh 2.69-2.74, 4 Pt 2.77

***

(11)
# Cu4Pt4Rh

A relaxed structure of Cu4Pt4Rh (PBE-GGA, the Alexandria database).

Magnetization ... 1.0 μB/f.u.
Offset from the most stable computed form ... 0.3052 eV/atom
E ... -91.5 eV for the cell shown
Mass density ... 12.9 g/cm³
Energy of formation ... 2.1 eV per formula unit

Cell lengths 5.2265, 5.2265, 10.7246 Å; angles 90.00, 90.00, 90.00 degrees
Closest atoms and distances in Å follow each position.
Space group P4_2/nmc (No. 137, origin choice 2)
One atom of each set of equivalent atoms:
Cu 0.0063 0.7500 0.0009 x8  4 Cu 2.55-2.68, 4 Pt 2.56-2.58
Pt 0.0088 0.2500 0.3334 x8  4 Pt 2.52-2.71, 4 Cu 2.56-2.58
Rh 0.2500 0.7500 0.2500 x2  4 Cu 2.96, 8 Pt 3.04

***

(12)
# Cu2PtRh

A relaxed structure of Cu2PtRh (PBE-GGA, the Alexandria database).

Magnetization ... 0.9 μB/f.u.
Offset from the most stable computed form ... 0.4965 eV/atom
E ... -79.5 eV for the cell shown
Mass density ... 11.8 g/cm³
Energy of formation ... 1.7 eV per formula unit

Cell lengths 6.7868, 6.7868, 5.2158 Å; angles 90.00, 90.00, 90.00 degrees
Closest atoms and distances in Å follow each position.
Space group I-42d (No. 122)
One atom of each set of equivalent atoms:
Cu 0.2482 0.7500 0.1250 x8  2 Rh 2.48, 2 Pt 2.49, 2 Cu 2.61
Pt 0.0000 0.0000 0.5000 x4  4 Cu 2.49, 2 Rh 2.61
Rh 0.0000 0.0000 0.0000 x4  4 Cu 2.48, 2 Pt 2.61